{"formula": "BaMnRe4", "functional": "PBE", "state": "optimized geometry", "spacegroup": "F-43m (216)", "formation_energy_ev_per_atom": 0.906, "lattice_angstrom": [[0.0000, 3.8498, 3.8498], [3.8498, 0.0000, 3.8498], [3.8498, 3.8498, 0.0000]], "species": ["Ba", "Mn", "Re", "Re", "Re", "Re"], "fractional_positions": [[0.0000, 0.0000, 0.0000], [0.7500, 0.7500, 0.7500], [0.3760, 0.3760, 0.3760], [0.3760, 0.3760, 0.8719], [0.3760, 0.8719, 0.3760], [0.8719, 0.3760, 0.3760]]}